This record from Alexandria describes TaTl2O after structural relaxation. The functional is PBE.

Raw formation energy: 204 kJ/mol of formula units
Energy above the lowest structure with this stoichiometry: 0 meV/atom

Cell and atoms, written as POSCAR:
```
TaTl2O
1.0
-3.562 3.562 3.079
3.562 -3.562 3.079
3.562 3.562 -3.079
Ta Tl O
2 4 2
Direct
0.000 0.000 0.000
0.750 0.250 0.500
0.181 0.125 0.556
0.375 0.819 0.944
0.569 0.625 0.444
0.875 0.431 0.056
0.250 0.750 0.500
0.500 0.500 0.000
```



This record from Alexandria describes Sc3PbAu after structural relaxation. The functional is PBE.

E_form: -154 meV/atom
Energy above the lowest structure with this stoichiometry: 0 meV/atom

Cell and atoms, written as POSCAR:
```
Sc3PbAu
1.0
5.174 0.000 0.000
0.000 5.174 0.000
0.000 0.000 5.174
Sc Pb Au
3 1 1
Direct
0.000 0.000 0.500
0.000 0.500 0.000
0.500 0.000 0.000
0.500 0.500 0.500
0.000 0.000 0.000
```



This record from Alexandria describes HfGaSbI2 after structural relaxation. The functional is PBE.

Raw formation energy: 332 kJ/mol of formula units
Energy above the lowest structure with this stoichiometry: 708 meV/atom

Cell and atoms, written as POSCAR:
```
HfGaSbI2
1.0
5.399 0.000 0.000
0.000 5.399 0.000
0.000 0.000 5.455
Hf Ga Sb I
1 1 1 2
Direct
0.000 0.000 0.000
0.500 0.500 0.500
0.500 0.500 0.000
0.000 0.500 0.500
0.500 0.000 0.500
```



The calculation returns the following Fermi-level density of states values, one per record and in order: 8.2, 7.9, 3.9 states/eV per cell.
The calculation returns the following ρ values, one per record and in order: 12.9, 6.5, 6.5 g cm⁻³.